Record 1
# TbDy4Mg7, relaxed, DFT PBE-GGA
data_TbDy4Mg7
_chemical_formula_sum 'Tb1 Dy4 Mg7'
_cell_length_a 5.297
_cell_length_b 5.297
_cell_length_c 13.222
_cell_angle_alpha 90.00
_cell_angle_beta 90.00
_cell_angle_gamma 120.00
_symmetry_space_group_name_H-M 'P 1'
_symmetry_Int_Tables_number 1
_symmetry_space_group_name_Hall 'P 1'
loop_
_atom_site_label
_atom_site_type_symbol
_atom_site_fract_x
_atom_site_fract_y
_atom_site_fract_z
Tb1 Tb 0.000 0.000 0.000
Dy1 Dy 0.333 0.667 0.163
Dy2 Dy 0.333 0.667 0.422
Dy3 Dy 0.667 0.333 0.578
Dy4 Dy 0.667 0.333 0.837
Mg1 Mg 0.000 0.000 0.263
Mg2 Mg 0.000 0.000 0.500
Mg3 Mg 0.000 0.000 0.737
Mg4 Mg 0.333 0.667 0.682
Mg5 Mg 0.333 0.667 0.918
Mg6 Mg 0.667 0.333 0.082
Mg7 Mg 0.667 0.333 0.318
# - E_tot (eV for the cell shown) = -34.45
# - size of the total moment (μB/f.u.) = 0.001
# - offset from the most stable computed form (meV/atom) = 0.0
# - calculated density (Mg/m³) = 5.06

Record 2
# Tb2DyMg4, relaxed, DFT PBE-GGA
data_Tb2DyMg4
_chemical_formula_sum 'Tb2 Dy1 Mg4'
_cell_length_a 7.183
_cell_length_b 7.183
_cell_length_c 5.430
_cell_angle_alpha 90.00
_cell_angle_beta 90.00
_cell_angle_gamma 130.82
_symmetry_space_group_name_H-M 'P 1'
_symmetry_Int_Tables_number 1
_symmetry_space_group_name_Hall 'P 1'
loop_
_atom_site_label
_atom_site_type_symbol
_atom_site_fract_x
_atom_site_fract_y
_atom_site_fract_z
Tb1 Tb 0.133 0.867 0.000
Tb2 Tb 0.867 0.133 0.000
Dy1 Dy 0.500 0.500 0.500
Mg1 Mg 0.260 0.740 0.500
Mg2 Mg 0.382 0.618 0.000
Mg3 Mg 0.618 0.382 0.000
Mg4 Mg 0.740 0.260 0.500
# - E_tot (eV for the cell shown) = -17.57
# - size of the total moment (μB/f.u.) = 0.000
# - offset from the most stable computed form (meV/atom) = 244.6
# - calculated density (Mg/m³) = 4.52

Record 3
# Tb6DyMg, relaxed, DFT PBE-GGA
data_Tb6DyMg
_chemical_formula_sum 'Tb6 Dy1 Mg1'
_cell_length_a 6.081
_cell_length_b 6.081
_cell_length_c 9.943
_cell_angle_alpha 114.11
_cell_angle_beta 114.11
_cell_angle_gamma 48.61
_symmetry_space_group_name_H-M 'P 1'
_symmetry_Int_Tables_number 1
_symmetry_space_group_name_Hall 'P 1'
loop_
_atom_site_label
_atom_site_type_symbol
_atom_site_fract_x
_atom_site_fract_y
_atom_site_fract_z
Tb1 Tb 0.002 0.002 0.250
Tb2 Tb 0.250 0.250 0.627
Tb3 Tb 0.255 0.255 0.124
Tb4 Tb 0.745 0.745 0.876
Tb5 Tb 0.750 0.750 0.373
Tb6 Tb 0.998 0.998 0.750
Dy1 Dy 0.500 0.500 0.500
Mg1 Mg 0.500 0.500 0.000
# - E_tot (eV for the cell shown) = -33.80
# - size of the total moment (μB/f.u.) = 0.000
# - offset from the most stable computed form (meV/atom) = 0.0
# - calculated density (Mg/m³) = 7.68

Record 4
# TbDy4Mg3, relaxed, DFT PBE-GGA
data_TbDy4Mg3
_chemical_formula_sum 'Tb1 Dy4 Mg3'
_cell_length_a 3.785
_cell_length_b 5.448
_cell_length_c 11.016
_cell_angle_alpha 90.00
_cell_angle_beta 90.00
_cell_angle_gamma 90.00
_symmetry_space_group_name_H-M 'P 1'
_symmetry_Int_Tables_number 1
_symmetry_space_group_name_Hall 'P 1'
loop_
_atom_site_label
_atom_site_type_symbol
_atom_site_fract_x
_atom_site_fract_y
_atom_site_fract_z
Tb1 Tb 0.000 0.000 0.000
Dy1 Dy 0.500 0.000 0.262
Dy2 Dy 0.500 0.000 0.738
Dy3 Dy 0.500 0.500 0.000
Dy4 Dy 0.500 0.500 0.500
Mg1 Mg 0.000 0.000 0.500
Mg2 Mg 0.000 0.500 0.251
Mg3 Mg 0.000 0.500 0.749
# - E_tot (eV for the cell shown) = -27.89
# - size of the total moment (μB/f.u.) = 0.001
# - calculated density (Mg/m³) = 6.45

no.,formation energy (meV per atom)
1,-21
2,381
3,22
4,-8